DFT (PBE) results for a relaxed ZrAsAu2 crystal.

a b c (Å): 3.7543 3.7543 5.5626
angles (deg): 90.00 90.00 90.00
Last column: nearest neighbours and their distance in Å.
Space group P4/mmm (No. 123)
Inequivalent atoms, fractional coordinates:
Zr 0.0000 0.0000 0.0000 [1 per cell]  2 As 2.78, 8 Au 2.99
As 0.0000 0.0000 0.5000 [1 per cell]  2 Zr 2.78, 8 Au 3.00
Au 0.5000 0.5000 0.2477 [2 per cell]  2 Au 2.76-2.81, 4 Zr 2.99, 4 As 3.00

calculated volume: 78 Å³/f.u.
magnetization: 0.01 μB/cell
formation enthalpy at 0 K: -0.3199 eV/atom

DFT (PBE) results for a relaxed ZrAsAu2 crystal.

a b c (Å): 9.1715 3.9803 5.1346
angles (deg): 90.00 122.33 90.00
Last column: nearest neighbours and their distance in Å.
Space group Cm (No. 8)
Inequivalent atoms, fractional coordinates:
Zr 0.0000 0.0000 0.0000 [2 per cell]  3 As 2.70-2.78, 1 Au 2.86
As 0.2307 0.5000 0.0765 [2 per cell]  3 Zr 2.70-2.78, 5 Au 2.71-2.88
Au 0.1967 0.0000 0.6600 [2 per cell]  3 Au 2.76-2.91, 2 As 2.81, 3 Zr 2.86-3.09
Au 0.4255 0.0000 0.4661 [2 per cell]  3 As 2.71-2.88, 3 Au 2.76-2.91

calculated volume: 79 Å³/f.u.
magnetization: 0.00 μB/cell
formation enthalpy at 0 K: -0.3554 eV/atom

DFT (PBE) results for a relaxed Zr3AsAu crystal.

a b c (Å): 4.9611 4.9611 4.9611
angles (deg): 90.00 90.00 90.00
Last column: nearest neighbours and their distance in Å.
Space group Pm-3m (No. 221)
Inequivalent atoms, fractional coordinates:
Zr 0.0000 0.0000 0.5000 [3 per cell]  2 As 2.48
As 0.0000 0.0000 0.0000 [1 per cell]  6 Zr 2.48
Au 0.5000 0.5000 0.5000 [1 per cell]  12 Zr 3.51

calculated volume: 122 Å³/f.u.
magnetization: 0.00 μB/cell
formation enthalpy at 0 K: -0.0200 eV/atom

DFT (PBE) results for a relaxed ZrAsAu2 crystal.

a b c (Å): 7.6814 7.6814 5.4647
angles (deg): 90.00 90.00 90.00
Last column: nearest neighbours and their distance in Å.
Space group I-42d (No. 122)
Inequivalent atoms, fractional coordinates:
Zr 0.0000 0.0000 0.0000 [4 per cell]  2 As 2.73, 4 Au 2.94
As 0.0000 0.0000 0.5000 [4 per cell]  4 Au 2.67, 2 Zr 2.73
Au 0.2250 0.7500 0.6250 [8 per cell]  2 As 2.67, 2 Au 2.76, 2 Zr 2.94

calculated volume: 81 Å³/f.u.
magnetization: 0.00 μB/cell
formation enthalpy at 0 K: -0.3110 eV/atom